Entry P
# PBE-GGA Na3RePd, optimized geometry
data_Na3RePd
_chemical_formula_sum 'Na3 Re1 Pd1'
_cell_length_a 5.668
_cell_length_b 5.668
_cell_length_c 5.668
_cell_angle_alpha 90.00
_cell_angle_beta 90.00
_cell_angle_gamma 90.00
_space_group_name_H-M_alt 'P 1'
_space_group_IT_number 1
_space_group_name_Hall 'P 1'
loop_
_atom_site_label
_atom_site_type_symbol
_atom_site_fract_x
_atom_site_fract_y
_atom_site_fract_z
Re1 Re 0.000 0.000 0.000
Pd1 Pd 0.500 0.500 0.500
Na1 Na 0.000 0.500 0.000
Na2 Na 0.000 0.000 0.500
Na3 Na 0.500 0.000 0.000
# SG: No. 221
# N(E_F), states/eV per atom: 1.71
# Total magnetic moment, μB/atom: 0.78
# Crystal system: cubic



Entry Q
# PBE-GGA Na3RePd, optimized geometry
data_Na3RePd
_chemical_formula_sum 'Na3 Re1 Pd1'
_cell_length_a 5.321
_cell_length_b 5.321
_cell_length_c 5.321
_cell_angle_alpha 90.00
_cell_angle_beta 90.00
_cell_angle_gamma 90.00
_space_group_name_H-M_alt 'P 1'
_space_group_IT_number 1
_space_group_name_Hall 'P 1'
loop_
_atom_site_label
_atom_site_type_symbol
_atom_site_fract_x
_atom_site_fract_y
_atom_site_fract_z
Re1 Re 0.500 0.500 0.500
Pd1 Pd 0.000 0.000 0.000
Na1 Na 0.000 0.500 0.000
Na2 Na 0.000 0.000 0.500
Na3 Na 0.500 0.000 0.000
# SG: No. 221
# N(E_F), states/eV per atom: 0.75
# Total magnetic moment, μB/atom: 0.82
# Crystal system: cubic



Winner for stability: entry Q



Entry P
# PBE-GGA NaPdRh3, optimized geometry
data_NaPdRh3
_chemical_formula_sum 'Na1 Pd1 Rh3'
_cell_length_a 4.831
_cell_length_b 4.831
_cell_length_c 4.831
_cell_angle_alpha 90.00
_cell_angle_beta 90.00
_cell_angle_gamma 90.00
_space_group_name_H-M_alt 'P 1'
_space_group_IT_number 1
_space_group_name_Hall 'P 1'
loop_
_atom_site_label
_atom_site_type_symbol
_atom_site_fract_x
_atom_site_fract_y
_atom_site_fract_z
Na1 Na 0.500 0.500 0.500
Rh1 Rh 0.000 0.500 0.000
Rh2 Rh 0.000 0.000 0.500
Rh3 Rh 0.500 0.000 0.000
Pd1 Pd 0.000 0.000 0.000
# SG: No. 221
# N(E_F), states/eV per atom: 1.25
# Total magnetic moment, μB/atom: 0.64
# Crystal system: cubic



Entry Q
# PBE-GGA NaPdRh3, optimized geometry
data_NaPdRh3
_chemical_formula_sum 'Na1 Pd1 Rh3'
_cell_length_a 4.489
_cell_length_b 4.489
_cell_length_c 4.489
_cell_angle_alpha 90.00
_cell_angle_beta 90.00
_cell_angle_gamma 90.00
_space_group_name_H-M_alt 'P 1'
_space_group_IT_number 1
_space_group_name_Hall 'P 1'
loop_
_atom_site_label
_atom_site_type_symbol
_atom_site_fract_x
_atom_site_fract_y
_atom_site_fract_z
Na1 Na 0.000 0.000 0.000
Rh1 Rh 0.000 0.500 0.000
Rh2 Rh 0.000 0.000 0.500
Rh3 Rh 0.500 0.000 0.000
Pd1 Pd 0.500 0.500 0.500
# SG: No. 221
# N(E_F), states/eV per atom: 1.41
# Total magnetic moment, μB/atom: 0.73
# Crystal system: cubic



Winner for stability: entry P



Entry P
# PBE-GGA NaPd3Rh, optimized geometry
data_NaPd3Rh
_chemical_formula_sum 'Na1 Pd3 Rh1'
_cell_length_a 4.533
_cell_length_b 4.533
_cell_length_c 4.533
_cell_angle_alpha 90.00
_cell_angle_beta 90.00
_cell_angle_gamma 90.00
_space_group_name_H-M_alt 'P 1'
_space_group_IT_number 1
_space_group_name_Hall 'P 1'
loop_
_atom_site_label
_atom_site_type_symbol
_atom_site_fract_x
_atom_site_fract_y
_atom_site_fract_z
Na1 Na 0.000 0.000 0.000
Rh1 Rh 0.500 0.500 0.500
Pd1 Pd 0.000 0.500 0.000
Pd2 Pd 0.000 0.000 0.500
Pd3 Pd 0.500 0.000 0.000
# SG: No. 221
# N(E_F), states/eV per atom: 1.35
# Total magnetic moment, μB/atom: 0.39
# Crystal system: cubic



Entry Q
# PBE-GGA NaPd3Rh, optimized geometry
data_NaPd3Rh
_chemical_formula_sum 'Na1 Pd3 Rh1'
_cell_length_a 4.888
_cell_length_b 4.888
_cell_length_c 4.888
_cell_angle_alpha 90.00
_cell_angle_beta 90.00
_cell_angle_gamma 90.00
_space_group_name_H-M_alt 'P 1'
_space_group_IT_number 1
_space_group_name_Hall 'P 1'
loop_
_atom_site_label
_atom_site_type_symbol
_atom_site_fract_x
_atom_site_fract_y
_atom_site_fract_z
Na1 Na 0.500 0.500 0.500
Rh1 Rh 0.000 0.000 0.000
Pd1 Pd 0.000 0.500 0.000
Pd2 Pd 0.000 0.000 0.500
Pd3 Pd 0.500 0.000 0.000
# SG: No. 221
# N(E_F), states/eV per atom: 1.23
# Total magnetic moment, μB/atom: 0.35
# Crystal system: cubic



Winner for stability: entry Q